Tb5Ce3S8: relaxed, PBE-GGA.

CIF file:
```
data_Tb5Ce3S8
_space_group_name_H-M_alt 'P 1'
_space_group_IT_number 1
_cell_length_a 7.911
_cell_length_b 7.911
_cell_length_c 7.938
_cell_angle_alpha 60.11
_cell_angle_beta 60.11
_cell_angle_gamma 60.00
loop_
_space_group_symop_operation_xyz
'x,y,z'
loop_
_atom_site_label
_atom_site_type_symbol
_atom_site_fract_x
_atom_site_fract_y
_atom_site_fract_z
Tb1 Tb 0.500 0.000 0.000
Tb2 Tb 0.500 0.500 0.000
Tb3 Tb 0.000 0.000 0.000
Tb4 Tb 0.000 0.500 0.000
Tb5 Tb 0.500 0.500 0.500
Ce1 Ce 0.500 0.000 0.500
Ce2 Ce 0.000 0.000 0.500
Ce3 Ce 0.000 0.500 0.500
S1 S 0.250 0.250 0.756
S2 S 0.250 0.744 0.756
S3 S 0.744 0.250 0.756
S4 S 0.747 0.747 0.759
S5 S 0.750 0.750 0.244
S6 S 0.750 0.256 0.244
S7 S 0.256 0.750 0.244
S8 S 0.253 0.253 0.241
```

Calculated values
E_form (uncorrected)	-2.031	eV/atom
SG	R-3m, No. 166